This record from the Alexandria database describes an optimized crystal structure of TmVO4F. The functional is PBE with a Hubbard U.

ρ	4.780	g/cm3
total moment	0.00	μB per formula unit
total DFT energy (no corrections)	-0.26827	Ha/atom

Cell lengths 9.293, 7.083, 6.512 Å; angles 90.00, 100.95, 90.00 degrees
Space group C2/m (No. 12)
Unique sites:
1 Tm 0.195 0.000 0.080 [4 per cell]
2 V 0.129 0.500 0.288 [4 per cell]
3 O 0.063 0.500 0.759 [4 per cell]
4 O 0.192 0.314 0.157 [8 per cell]
5 O 0.198 0.500 0.557 [4 per cell]
6 F 0.014 0.000 0.811 [4 per cell]